No. 1
First-principles (PBE) data for an optimized crystal structure of LaMg2IrI, as listed in the Alexandria database.

The theoretical density is 5.792 g/cm³. Its formation energy (no corrections) is -0.5726 eV per atom. As for the total magnetic moment: 0.0 μB per cell. The crystal system is tetragonal. The uncorrected energy comes out at -4.28 eV per atom.

The structure belongs to space group P4/mmm (No. 123); the cell edges are 5.172, 5.172 and 5.429 Å and the angles 90.00°, 90.00° and 90.00°. The distinct sites, in fractional coordinates, are La at (0.000, 0.000, 0.000), Mg at (0.000, 0.500, 0.500), Ir at (0.000, 0.000, 0.500) and I at (0.500, 0.500, 0.000).

=====

No. 2
First-principles (PBE) data for an optimized crystal structure of Cs2PmMg3H12, as listed in the Alexandria database.

The theoretical density is 3.235 g/cm³. As for the total magnetic moment: 0.0 μB per cell. The crystal system is trigonal. The uncorrected energy comes out at -3.03 eV per atom.

The structure belongs to space group R-3m (No. 166, hexagonal axes); the cell edges are 7.5048, 7.5048 and 15.6543 Å and the angles 90.00°, 90.00° and 120.00°. The distinct sites, in fractional coordinates, are Cs at (0.0000, 0.0000, 0.1102), Pm at (0.0000, 0.0000, 0.5000), Mg at (0.0000, 0.5000, 0.0000), H at (0.0013, 0.5007, 0.8788) and H at (0.0990, 0.5495, 0.3048).

=====

No. 3
First-principles (PBE) data for an optimized crystal structure of Na6In23Pb, as listed in the Alexandria database.

The theoretical density is 6.060 g/cm³. As for the total magnetic moment: 0.0 μB per cell. The crystal system is cubic. As for the formation energy: -47 meV/atom. The uncorrected energy comes out at -2.53 eV per atom.

The structure belongs to space group Fm-3m (No. 225); the cell edges are 14.847, 14.847 and 14.847 Å and the angles 90.00°, 90.00° and 90.00°. The distinct sites, in fractional coordinates, are Na at (0.000, 0.000, 0.245), In at (0.000, 0.000, 0.500), In at (0.000, 0.250, 0.250), In at (0.128, 0.128, 0.372), In at (0.135, 0.135, 0.135) and Pb at (0.000, 0.000, 0.000).

=====

No. 4
First-principles (PBE) data for an optimized crystal structure of TbH2I3, as listed in the Alexandria database.

The theoretical density is 3.594 g/cm³. As for the total magnetic moment: 0.0 μB per cell. The crystal system is triclinic. The uncorrected energy comes out at -3.59 eV per atom.

The structure belongs to space group P-1 (No. 2); the cell edges are 7.629, 8.491 and 8.491 Å and the angles 97.79°, 105.22° and 104.91°. The distinct sites, in fractional coordinates, are Tb at (0.000, 0.000, 0.000), Tb at (0.500, 0.000, 0.000), H at (0.206, 0.455, 0.482), H at (0.293, 0.518, 0.545), I at (0.135, 0.704, 0.893), I at (0.248, 0.186, 0.812) and I at (0.367, 0.108, 0.296).

=====

No. 5
First-principles (PBE) data for an optimized crystal structure of Pm2TmThP4, as listed in the Alexandria database.

The theoretical density is 6.978 g/cm³. As for the total magnetic moment: 0.0 μB per cell. The crystal system is monoclinic. As for the formation energy: -1586 meV/atom. The uncorrected energy comes out at -6.96 eV per atom.

The structure belongs to space group P2/m (No. 10); the cell edges are 7.069, 4.098 and 7.100 Å and the angles 90.00°, 109.44° and 90.00°. The distinct sites, in fractional coordinates, are Pm at (0.000, 0.000, 0.000), Pm at (0.500, 0.500, 0.000), Tm at (0.000, 0.500, 0.500), Th at (0.500, 0.000, 0.500), P at (0.243, 0.000, 0.742) and P at (0.247, 0.500, 0.255).

=====

No. 6
First-principles (PBE) data for an optimized crystal structure of ReHg2OsRh, as listed in the Alexandria database.

The theoretical density is 12.305 g/cm³. As for the total magnetic moment: 4.0 μB per cell. The crystal system is tetragonal. As for the formation energy: 2068 meV/atom. The uncorrected energy comes out at -4.26 eV per atom.

The structure belongs to space group P4/mmm (No. 123); the cell edges are 5.028, 5.028 and 4.700 Å and the angles 90.00°, 90.00° and 90.00°. The distinct sites, in fractional coordinates, are Re at (0.000, 0.000, 0.000), Hg at (0.000, 0.500, 0.500), Os at (0.500, 0.500, 0.000) and Rh at (0.500, 0.500, 0.500).

=====

No. 7
First-principles (PBE) data for an optimized crystal structure of LiRu2Cl, as listed in the Alexandria database.

The theoretical density is 4.678 g/cm³. The energy above the most stable polymorph in this dataset comes out at 328 meV/atom. Its formation energy (no corrections) is 0.2708 eV per atom. As for the total magnetic moment: 0.0 μB per cell. The crystal system is tetragonal. The uncorrected energy comes out at -5.31 eV per atom.

The structure belongs to space group P4/mmm (No. 123); the cell edges are 3.403, 3.403 and 7.497 Å and the angles 90.00°, 90.00° and 90.00°. The distinct sites, in fractional coordinates, are Li at (0.000, 0.000, 0.000), Ru at (0.000, 0.500, 0.500) and Cl at (0.500, 0.500, 0.000).

=====

No. 8
First-principles (PBE) data for an optimized crystal structure of ZnRe2Si2, as listed in the Alexandria database.

The theoretical density is 11.262 g/cm³. Its formation energy (no corrections) is -0.0274 eV per atom. As for the total magnetic moment: 0.0 μB per cell. The crystal system is tetragonal. The uncorrected energy comes out at -7.43 eV per atom.

The structure belongs to space group P4/mbm (No. 127); the cell edges are 6.891, 6.891 and 3.068 Å and the angles 90.00°, 90.00° and 90.00°. The distinct sites, in fractional coordinates, are Zn at (0.000, 0.000, 0.000), Re at (0.149, 0.351, 0.000) and Si at (0.146, 0.646, 0.500).

=====

Which of these has the highest uncorrected energy? Na6In23Pb

=====

The highest theoretical density belongs to which entry? ReHg2OsRh